The following is a DFT calculation (PBE-GGA) of crystalline TlInAu at its relaxed geometry.

**Crystal system**: tetragonal
**Total DFT energy (no corrections)**: -0.1048 Ha/atom
**Total magnetization**: 0.000 μB per cell
**DOS at the Fermi energy**: 0.86 states/eV/f.u.
**Space-group type**: No. 107

```
TlInAu
1.0
-1.7723 1.7723 6.0135
1.7723 -1.7723 6.0135
1.7723 1.7723 -6.0135
Tl In Au
1 1 1
direct
0.0000 0.0000 0.0000
0.7049 0.7049 0.0000
0.3331 0.3331 0.0000
```

The following is a DFT calculation (PBE-GGA) of crystalline NaSnI2 at its relaxed geometry.

**Formation energy without anion corrections**: -0.6810 eV/atom
**Crystal system**: triclinic
**Total magnetization**: 0.000 μB per cell
**Space-group type**: No. 1

```
NaSnI2
1.0
4.9042 0.0000 0.0000
2.3612 7.9692 0.0000
0.0838 3.6637 8.6058
Na Sn I
2 2 4
direct
0.0000 0.0000 0.0000
0.1518 0.7324 0.7280
0.0572 0.3270 0.4972
0.4483 0.5505 0.3952
0.1463 0.9365 0.3536
0.2125 0.5415 0.1094
0.5200 0.9745 0.7899
0.8178 0.4356 0.7636
```

The following is a DFT calculation (PBE-GGA) of crystalline NbAlTc at its relaxed geometry.

**Crystal system**: tetragonal
**Total DFT energy (no corrections)**: -0.3088 Ha/atom
**Total magnetization**: 0.000 μB per cell
**DOS at the Fermi energy**: 3.69 states/eV/f.u.
**Space-group type**: No. 107

```
NbAlTc
1.0
-1.6224 1.6224 4.5430
1.6224 -1.6224 4.5430
1.6224 1.6224 -4.5430
Nb Al Tc
1 1 1
direct
0.0000 0.0000 0.0000
0.6847 0.6847 0.0000
0.3453 0.3453 0.0000
```

The following is a DFT calculation (PBE-GGA) of crystalline Tl2TeBr7 at its relaxed geometry.

**Formation energy without anion corrections**: -0.4393 eV/atom
**Crystal system**: monoclinic
**Total magnetization**: 2.041 μB per cell
**DOS at the Fermi energy**: 0.07 states/eV/f.u.
**Space-group type**: No. 15

```
Tl2TeBr7
1.0
7.3293 -4.5824 0.0000
7.3293 4.5824 0.0000
-4.8495 0.0000 11.4055
Tl Te Br
4 2 14
direct
0.1971 0.2234 0.0395
0.2234 0.1971 0.5395
0.7766 0.8029 0.4605
0.8029 0.7766 0.9605
0.3378 0.6622 0.7500
0.6622 0.3378 0.2500
0.0588 0.9412 0.7500
0.1521 0.5011 0.7836
0.1950 0.6028 0.1672
0.2210 0.5699 0.5130
0.3972 0.8050 0.3328
0.4301 0.7790 0.9870
0.4989 0.8479 0.7164
0.5011 0.1521 0.2836
0.5699 0.2210 0.0130
0.6028 0.1950 0.6672
0.7790 0.4301 0.4870
0.8050 0.3972 0.8328
0.8479 0.4989 0.2164
0.9412 0.0588 0.2500
```

The following is a DFT calculation (PBE-GGA) of crystalline CaTb5Nd6 at its relaxed geometry.

**Crystal system**: monoclinic
**Total DFT energy (no corrections)**: -0.1635 Ha/atom
**Total magnetization**: 0.000 μB per cell
**DOS at the Fermi energy**: 15.19 states/eV/f.u.
**Space-group type**: No. 12

```
CaTb5Nd6
1.0
6.0056 -5.4861 0.0000
6.0056 5.4861 0.0000
-1.1193 0.0000 6.2138
Ca Tb Nd
1 5 6
direct
0.0000 0.0000 0.0000
0.1711 0.8289 0.5000
0.3383 0.6617 0.0000
0.5000 0.5000 0.5000
0.6617 0.3383 0.0000
0.8289 0.1711 0.5000
0.0830 0.4238 0.2523
0.2522 0.2522 0.7413
0.4238 0.0830 0.2523
0.5762 0.9170 0.7477
0.7478 0.7478 0.2587
0.9170 0.5762 0.7477
```

The following is a DFT calculation (PBE-GGA) of crystalline BeBr2Cl at its relaxed geometry.

**Formation energy without anion corrections**: -0.3475 eV/atom
**Crystal system**: tetragonal
**Total magnetization**: 2.000 μB per cell
**DOS at the Fermi energy**: 7.07 states/eV/f.u.
**Space-group type**: No. 122

```
BeBr2Cl
1.0
-3.3913 3.3913 4.5873
3.3913 -3.3913 4.5873
3.3913 3.3913 -4.5873
Be Br Cl
2 4 2
direct
0.0000 0.0000 0.0000
0.7500 0.2500 0.5000
0.0024 0.6250 0.8774
0.3750 0.2524 0.3774
0.7476 0.1250 0.1226
0.8750 0.9976 0.6226
0.2500 0.7500 0.5000
0.5000 0.5000 0.0000
```